{"formula": "GdPuFeOs", "functional": "PBE", "state": "optimized geometry", "lattice": [[0.0000, 3.3975, 3.3975], [3.3975, 0.0000, 3.3975], [3.3975, 3.3975, 0.0000]], "species": ["Gd", "Pu", "Fe", "Os"], "frac_coords": [[0.0000, 0.0000, 0.0000], [0.5000, 0.5000, 0.5000], [0.2500, 0.2500, 0.2500], [0.7500, 0.7500, 0.7500]], "space_group": "F-43m (216)", "delta_e_f_ev_per_atom": 0.012, "dft_energy_ev_per_atom": -12.01}

=====

{"formula": "GdZrFeOs", "functional": "PBE", "state": "optimized geometry", "lattice": [[0.0000, 3.3390, 3.3390], [3.3390, 0.0000, 3.3390], [3.3390, 3.3390, 0.0000]], "species": ["Gd", "Zr", "Fe", "Os"], "frac_coords": [[0.0000, 0.0000, 0.0000], [0.5000, 0.5000, 0.5000], [0.7500, 0.7500, 0.7500], [0.2500, 0.2500, 0.2500]], "space_group": "F-43m (216)", "delta_e_f_ev_per_atom": -0.089, "dft_energy_ev_per_atom": -10.67}

=====

{"formula": "GdFe4P12", "functional": "PBE", "state": "optimized geometry", "lattice": [[-3.8921, 3.8921, 3.8921], [3.8921, -3.8921, 3.8921], [3.8921, 3.8921, -3.8921]], "species": ["Gd", "Fe", "Fe", "Fe", "Fe", "P", "P", "P", "P", "P", "P", "P", "P", "P", "P", "P", "P"], "frac_coords": [[0.0000, 0.0000, 0.0000], [0.0000, 0.0000, 0.5000], [0.0000, 0.5000, 0.0000], [0.5000, 0.0000, 0.0000], [0.5000, 0.5000, 0.5000], [0.1510, 0.5033, 0.3524], [0.1510, 0.7986, 0.6476], [0.2014, 0.3524, 0.8490], [0.3524, 0.1510, 0.5033], [0.3524, 0.8490, 0.2014], [0.4967, 0.6476, 0.8490], [0.5033, 0.3524, 0.1510], [0.6476, 0.1510, 0.7986], [0.6476, 0.8490, 0.4967], [0.7986, 0.6476, 0.1510], [0.8490, 0.2014, 0.3524], [0.8490, 0.4967, 0.6476]], "space_group": "Im-3 (204)", "delta_e_f_ev_per_atom": -0.599, "dft_energy_ev_per_atom": -7.24}

=====

{"formula": "GdPaFe", "functional": "PBE", "state": "optimized geometry", "lattice": [[4.0623, 0.0000, 0.0000], [-2.0311, 3.5181, 0.0000], [0.0000, 0.0000, 5.0762]], "species": ["Gd", "Pa", "Fe"], "frac_coords": [[0.0000, 0.0000, 0.0000], [0.6667, 0.3333, 0.5000], [0.3333, 0.6667, 0.5000]], "space_group": "P-6m2 (187)", "delta_e_f_ev_per_atom": 0.041, "dft_energy_ev_per_atom": -10.64}

=====

{"formula": "GdPaFe", "functional": "PBE", "state": "optimized geometry", "lattice": [[-1.6937, 1.6937, 5.5830], [1.6937, -1.6937, 5.5830], [1.6937, 1.6937, -5.5830]], "species": ["Gd", "Pa", "Fe"], "frac_coords": [[0.0000, 0.0000, 0.0000], [0.2930, 0.2930, 0.0000], [0.6983, 0.6983, 0.0000]], "space_group": "I4mm (107)", "delta_e_f_ev_per_atom": -0.037, "dft_energy_ev_per_atom": -10.72}

=====

{"formula": "GdPaFe4", "functional": "PBE", "state": "optimized geometry", "lattice": [[0.0000, 3.6165, 3.6165], [3.6165, 0.0000, 3.6165], [3.6165, 3.6165, 0.0000]], "species": ["Gd", "Pa", "Fe", "Fe", "Fe", "Fe"], "frac_coords": [[0.0000, 0.0000, 0.0000], [0.7500, 0.7500, 0.7500], [0.3757, 0.3757, 0.3757], [0.3757, 0.3757, 0.8730], [0.3757, 0.8730, 0.3757], [0.8730, 0.3757, 0.3757]], "space_group": "F-43m (216)", "delta_e_f_ev_per_atom": -0.079, "dft_energy_ev_per_atom": -9.65}

=====

{"formula": "GdPaFeTc", "functional": "PBE", "state": "optimized geometry", "lattice": [[0.0000, 3.4034, 3.4034], [3.4034, 0.0000, 3.4034], [3.4034, 3.4034, 0.0000]], "species": ["Gd", "Pa", "Fe", "Tc"], "frac_coords": [[0.0000, 0.0000, 0.0000], [0.5000, 0.5000, 0.5000], [0.2500, 0.2500, 0.2500], [0.7500, 0.7500, 0.7500]], "space_group": "F-43m (216)", "delta_e_f_ev_per_atom": 0.022, "dft_energy_ev_per_atom": -10.58}

=====

{"formula": "Gd3FePb", "functional": "PBE", "state": "optimized geometry", "lattice": [[5.1530, 0.0000, 0.0000], [0.0000, 5.1530, 0.0000], [0.0000, 0.0000, 5.1530]], "species": ["Gd", "Gd", "Gd", "Fe", "Pb"], "frac_coords": [[0.0000, 0.0000, 0.5000], [0.0000, 0.5000, 0.0000], [0.5000, 0.0000, 0.0000], [0.0000, 0.0000, 0.0000], [0.5000, 0.5000, 0.5000]], "space_group": "Pm-3m (221)", "delta_e_f_ev_per_atom": -0.167, "dft_energy_ev_per_atom": -11.05}